[1]
First-principles (PBE-GGA) data for crystalline WSN2Cl at its relaxed geometry, as listed in the Alexandria database.

- polymorph energy (0 for the lowest one) (meV/atom) = 0.0
- DFT total energy (eV for the cell shown) = -32.89
- energy relative to the elements, uncorrected (eV/atom) = 0.54
- DOS(E_F) (states/eV per atom) = 0.553

Unit cell a=3.894 b=3.894 c=5.149 alpha=90.00 beta=90.00 gamma=90.00
Site moments in Bohr magnetons follow the coordinates.
Element x y z (fractional)
1 N 0.000 0.500 0.000  0.25
2 N 0.500 0.000 0.000  0.25
3 S 0.000 0.000 0.500  0.02
4 Cl 0.500 0.500 0.500  0.02
5 W 0.000 0.000 0.000  -0.19



[2]
First-principles (PBE-GGA) data for crystalline WSN2Cl at its relaxed geometry, as listed in the Alexandria database.

- polymorph energy (0 for the lowest one) (meV/atom) = 1905.5
- DFT total energy (eV for the cell shown) = -23.37
- energy relative to the elements, uncorrected (eV/atom) = 2.44
- DOS(E_F) (states/eV per atom) = 0.481

Unit cell a=3.773 b=3.773 c=4.272 alpha=90.00 beta=90.00 gamma=90.00
Element x y z (fractional)
1 S 0.000 0.000 0.500
2 N 0.000 0.500 0.000
3 Cl 0.000 0.000 0.000
4 W 0.500 0.500 0.500
5 N 0.500 0.000 0.000



[3]
First-principles (PBE-GGA) data for crystalline WSNCl5 at its relaxed geometry, as listed in the Alexandria database.

- DFT total energy (eV for the cell shown) = -157.44
- energy relative to the elements, uncorrected (eV/atom) = -0.59

Unit cell a=9.791 b=6.395 c=16.790 alpha=71.02 beta=90.00 gamma=90.00
Element x y z (fractional)
1 N 0.676 0.658 0.175
2 W 0.859 0.906 0.590
3 Cl 0.990 0.948 0.337
4 Cl 0.315 0.873 0.388
5 Cl 0.185 0.873 0.888
6 S 0.297 0.561 0.750
7 S 0.203 0.561 0.250
8 Cl 0.442 0.747 0.041
9 N 0.824 0.658 0.675
10 Cl 0.733 0.826 0.488
11 Cl 0.581 0.460 0.348
12 S 0.797 0.439 0.750
13 W 0.641 0.906 0.090
14 S 0.703 0.439 0.250
15 Cl 0.815 0.127 0.112
16 Cl 0.942 0.253 0.459
17 Cl 0.058 0.747 0.541
18 Cl 0.685 0.127 0.612
19 Cl 0.267 0.174 0.512
20 W 0.359 0.094 0.910
21 N 0.324 0.342 0.825
22 Cl 0.081 0.540 0.152
23 Cl 0.767 0.826 0.988
24 Cl 0.490 0.052 0.163
25 Cl 0.919 0.460 0.848
26 W 0.141 0.094 0.410
27 Cl 0.233 0.174 0.012
28 Cl 0.010 0.052 0.663
29 Cl 0.419 0.540 0.652
30 Cl 0.558 0.253 0.959
31 Cl 0.510 0.948 0.837
32 N 0.176 0.342 0.325



[4]
First-principles (PBE-GGA) data for crystalline YS2NCl at its relaxed geometry, as listed in the Alexandria database.

- polymorph energy (0 for the lowest one) (meV/atom) = 627.2
- DFT total energy (eV for the cell shown) = -22.36
- energy relative to the elements, uncorrected (eV/atom) = 0.51
- DOS(E_F) (states/eV per atom) = 0.778

Unit cell a=4.621 b=4.621 c=4.051 alpha=90.00 beta=90.00 gamma=90.00
Element x y z (fractional)
1 Y 0.500 0.500 0.500
2 Cl 0.000 0.000 0.000
3 S 0.500 0.000 0.000
4 N 0.000 0.000 0.500
5 S 0.000 0.500 0.000



[5]
First-principles (PBE-GGA) data for crystalline YS2NCl at its relaxed geometry, as listed in the Alexandria database.

- polymorph energy (0 for the lowest one) (meV/atom) = 662.8
- DFT total energy (eV for the cell shown) = -22.19
- energy relative to the elements, uncorrected (eV/atom) = 0.54
- DOS(E_F) (states/eV per atom) = 1.567

Unit cell a=5.456 b=5.456 c=4.405 alpha=90.00 beta=90.00 gamma=90.00
Site moments in Bohr magnetons follow the coordinates.
Element x y z (fractional)
1 N 0.000 0.000 0.500  -0.02
2 Y 0.000 0.000 0.000  -0.03
3 Cl 0.500 0.500 0.500  0.52
4 S 0.500 0.000 0.000  0.70
5 S 0.000 0.500 0.000  0.70



[6]
First-principles (PBE-GGA) data for crystalline YS2NCl at its relaxed geometry, as listed in the Alexandria database.

- polymorph energy (0 for the lowest one) (meV/atom) = 0.0
- DFT total energy (eV for the cell shown) = -25.50
- energy relative to the elements, uncorrected (eV/atom) = -0.12
- DOS(E_F) (states/eV per atom) = 0.043

Unit cell a=4.446 b=4.446 c=4.160 alpha=90.00 beta=90.00 gamma=90.00
Element x y z (fractional)
1 S 0.500 0.000 0.000
2 Y 0.500 0.500 0.500
3 Cl 0.000 0.000 0.500
4 N 0.000 0.000 0.000
5 S 0.000 0.500 0.000



[7]
First-principles (PBE-GGA) data for crystalline YS2NCl at its relaxed geometry, as listed in the Alexandria database.

- polymorph energy (0 for the lowest one) (meV/atom) = 452.3
- DFT total energy (eV for the cell shown) = -23.24
- energy relative to the elements, uncorrected (eV/atom) = 0.33
- DOS(E_F) (states/eV per atom) = 0.763

Unit cell a=5.385 b=5.385 c=5.338 alpha=90.00 beta=90.00 gamma=90.00
Site moments in Bohr magnetons follow the coordinates.
Element x y z (fractional)
1 Cl 0.000 0.000 0.500  0.10
2 Y 0.000 0.000 0.000  -0.05
3 N 0.500 0.500 0.500  1.92
4 S 0.500 0.000 0.000  0.60
5 S 0.000 0.500 0.000  0.60



[8]
First-principles (PBE-GGA) data for crystalline ZnSN2Cl at its relaxed geometry, as listed in the Alexandria database.

- polymorph energy (0 for the lowest one) (meV/atom) = 260.5
- DFT total energy (eV for the cell shown) = -14.33
- energy relative to the elements, uncorrected (eV/atom) = 1.91
- DOS(E_F) (states/eV per atom) = 0.217

Unit cell a=3.523 b=3.523 c=7.534 alpha=90.00 beta=90.00 gamma=90.00
Element x y z (fractional)
1 N 0.500 0.000 0.000
2 Zn 0.500 0.500 0.500
3 N 0.000 0.500 0.000
4 S 0.000 0.000 0.500
5 Cl 0.000 0.000 0.000



[9]
First-principles (PBE-GGA) data for crystalline ZnS2NCl at its relaxed geometry, as listed in the Alexandria database.

- polymorph energy (0 for the lowest one) (meV/atom) = 368.7
- DFT total energy (eV for the cell shown) = -12.81
- energy relative to the elements, uncorrected (eV/atom) = 1.38
- DOS(E_F) (states/eV per atom) = 0.775

Unit cell a=4.772 b=4.772 c=5.110 alpha=90.00 beta=90.00 gamma=90.00
Site moments in Bohr magnetons follow the coordinates.
Element x y z (fractional)
1 S 0.500 0.000 0.000  0.74
2 S 0.000 0.500 0.000  0.74
3 Zn 0.000 0.000 0.000  0.02
4 N 0.500 0.500 0.500  1.90
5 Cl 0.000 0.000 0.500  0.30



[10]
First-principles (PBE-GGA) data for crystalline ZnS2NCl at its relaxed geometry, as listed in the Alexandria database.

- polymorph energy (0 for the lowest one) (meV/atom) = 552.4
- DFT total energy (eV for the cell shown) = -11.89
- energy relative to the elements, uncorrected (eV/atom) = 1.56
- DOS(E_F) (states/eV per atom) = 0.794

Unit cell a=4.874 b=4.874 c=3.497 alpha=90.00 beta=90.00 gamma=90.00
Element x y z (fractional)
1 Zn 0.500 0.500 0.500
2 S 0.000 0.500 0.000
3 Cl 0.000 0.000 0.000
4 S 0.500 0.000 0.000
5 N 0.000 0.000 0.500



[11]
First-principles (PBE-GGA) data for crystalline ZnS2NCl at its relaxed geometry, as listed in the Alexandria database.

- polymorph energy (0 for the lowest one) (meV/atom) = 259.3
- DFT total energy (eV for the cell shown) = -13.36
- energy relative to the elements, uncorrected (eV/atom) = 1.27
- DOS(E_F) (states/eV per atom) = 1.299

Unit cell a=4.912 b=4.912 c=3.850 alpha=90.00 beta=90.00 gamma=90.00
Site moments in Bohr magnetons follow the coordinates.
Element x y z (fractional)
1 S 0.000 0.500 0.000  0.36
2 Zn 0.000 0.000 0.000  0.06
3 N 0.000 0.000 0.500  1.18
4 S 0.500 0.000 0.000  0.36
5 Cl 0.500 0.500 0.500  0.13



[12]
First-principles (PBE-GGA) data for crystalline ZnS2NCl at its relaxed geometry, as listed in the Alexandria database.

- polymorph energy (0 for the lowest one) (meV/atom) = 0.0
- DFT total energy (eV for the cell shown) = -14.66
- energy relative to the elements, uncorrected (eV/atom) = 1.01
- DOS(E_F) (states/eV per atom) = 0.221

Unit cell a=4.206 b=4.206 c=4.305 alpha=90.00 beta=90.00 gamma=90.00
Element x y z (fractional)
1 Zn 0.500 0.500 0.500
2 S 0.000 0.500 0.000
3 S 0.500 0.000 0.000
4 Cl 0.000 0.000 0.500
5 N 0.000 0.000 0.000



[13]
First-principles (PBE-GGA) data for crystalline ZnSN2Cl at its relaxed geometry, as listed in the Alexandria database.

- polymorph energy (0 for the lowest one) (meV/atom) = 0.0
- DFT total energy (eV for the cell shown) = -15.63
- energy relative to the elements, uncorrected (eV/atom) = 1.65
- DOS(E_F) (states/eV per atom) = 0.433

Unit cell a=3.880 b=3.880 c=5.713 alpha=90.00 beta=90.00 gamma=90.00
Site moments in Bohr magnetons follow the coordinates.
Element x y z (fractional)
1 Zn 0.000 0.000 0.000  0.07
2 N 0.500 0.000 0.000  1.24
3 S 0.000 0.000 0.500  0.17
4 N 0.000 0.500 0.000  1.24
5 Cl 0.500 0.500 0.500  0.05



[14]
First-principles (PBE-GGA) data for crystalline ZrSNCl2 at its relaxed geometry, as listed in the Alexandria database.

- polymorph energy (0 for the lowest one) (meV/atom) = 0.0
- DFT total energy (eV for the cell shown) = -25.23
- energy relative to the elements, uncorrected (eV/atom) = -0.11

Unit cell a=5.129 b=5.129 c=4.903 alpha=90.00 beta=90.00 gamma=90.00
Site moments in Bohr magnetons follow the coordinates.
Element x y z (fractional)
1 S 0.000 0.000 0.500  0.01
2 Zr 0.000 0.000 0.000  0.02
3 N 0.500 0.500 0.500  1.92
4 Cl 0.000 0.500 0.000  0.02
5 Cl 0.500 0.000 0.000  0.02



[15]
First-principles (PBE-GGA) data for crystalline ZrSNCl2 at its relaxed geometry, as listed in the Alexandria database.

- polymorph energy (0 for the lowest one) (meV/atom) = 705.1
- DFT total energy (eV for the cell shown) = -21.71
- energy relative to the elements, uncorrected (eV/atom) = 0.60
- DOS(E_F) (states/eV per atom) = 0.896

Unit cell a=4.321 b=4.321 c=4.277 alpha=90.00 beta=90.00 gamma=90.00
Element x y z (fractional)
1 S 0.000 0.000 0.500
2 Cl 0.000 0.500 0.000
3 N 0.000 0.000 0.000
4 Cl 0.500 0.000 0.000
5 Zr 0.500 0.500 0.500



[16]
First-principles (PBE-GGA) data for crystalline SbNCl2 at its relaxed geometry, as listed in the Alexandria database.

- polymorph energy (0 for the lowest one) (meV/atom) = 326.8
- DFT total energy (eV for the cell shown) = -23.32
- energy relative to the elements, uncorrected (eV/atom) = 1.12
- DOS(E_F) (states/eV per atom) = 0.773

Unit cell a=6.264 b=6.264 c=6.312 alpha=60.25 beta=60.25 gamma=90.00
Element x y z (fractional)
1 Sb 0.750 0.250 0.500
2 Cl 0.375 0.625 0.750
3 Cl 0.375 0.125 0.250
4 Sb 0.000 0.000 0.000
5 Cl 0.875 0.625 0.750
6 N 0.500 0.500 0.000
7 Cl 0.375 0.625 0.250
8 N 0.250 0.750 0.500



[17]
First-principles (PBE-GGA) data for crystalline SbN2Cl at its relaxed geometry, as listed in the Alexandria database.

- polymorph energy (0 for the lowest one) (meV/atom) = 1221.0
- DFT total energy (eV for the cell shown) = -14.89
- energy relative to the elements, uncorrected (eV/atom) = 1.93
- DOS(E_F) (states/eV per atom) = 1.029

Unit cell a=4.175 b=4.175 c=4.175 alpha=60.00 beta=60.00 gamma=60.00
Element x y z (fractional)
1 Cl 0.000 0.000 0.000
2 Sb 0.500 0.500 0.500
3 N 0.750 0.750 0.750
4 N 0.250 0.250 0.250



[18]
First-principles (PBE-GGA) data for crystalline SbN2Cl at its relaxed geometry, as listed in the Alexandria database.

- polymorph energy (0 for the lowest one) (meV/atom) = 0.0
- DFT total energy (eV for the cell shown) = -19.77
- energy relative to the elements, uncorrected (eV/atom) = 0.71
- DOS(E_F) (states/eV per atom) = 0.047

Unit cell a=6.477 b=6.477 c=6.477 alpha=29.72 beta=29.72 gamma=29.72
Element x y z (fractional)
1 Cl 0.000 0.000 0.000
2 N 0.890 0.890 0.890
3 Sb 0.500 0.500 0.500
4 N 0.110 0.110 0.110



[19]
First-principles (PBE-GGA) data for crystalline SbNCl2 at its relaxed geometry, as listed in the Alexandria database.

- polymorph energy (0 for the lowest one) (meV/atom) = 211.4
- DFT total energy (eV for the cell shown) = -12.12
- energy relative to the elements, uncorrected (eV/atom) = 1.00
- DOS(E_F) (states/eV per atom) = 0.477

Unit cell a=4.786 b=4.786 c=4.786 alpha=60.00 beta=60.00 gamma=60.00
Site moments in Bohr magnetons follow the coordinates.
Element x y z (fractional)
1 N 0.000 0.000 0.000  1.53
2 Sb 0.500 0.500 0.500  -0.17
3 Cl 0.750 0.750 0.750  0.06
4 Cl 0.250 0.250 0.250  0.06



[20]
First-principles (PBE-GGA) data for crystalline SbN2Cl3 at its relaxed geometry, as listed in the Alexandria database.

- DFT total energy (eV for the cell shown) = -38.65
- energy relative to the elements, uncorrected (eV/atom) = 1.16
- DOS(E_F) (states/eV per atom) = 0.000

Unit cell a=7.241 b=7.241 c=7.912 alpha=89.95 beta=89.95 gamma=68.52
Site moments in Bohr magnetons follow the coordinates.
Element x y z (fractional)
1 Cl 0.847 0.847 0.500  0.05
2 Cl 0.283 0.717 0.250  0.04
3 N 0.467 0.811 0.750  1.91
4 Cl 0.153 0.153 0.000  0.05
5 Cl 0.847 0.847 0.000  0.05
6 Cl 0.717 0.283 0.750  0.04
7 N 0.811 0.467 0.250  1.91
8 Sb 0.007 0.993 0.750  0.03
9 Sb 0.993 0.007 0.250  0.03
10 N 0.189 0.533 0.750  1.91
11 N 0.533 0.189 0.250  1.91
12 Cl 0.153 0.153 0.500  0.05